VASP calculation (PBE-GGA) on a relaxed Ca2PmSmTe4 crystal.

Unit cell a=6.3255 b=6.3254 c=7.7529 alpha=114.08 beta=114.08 gamma=90.00
Fractional coordinates of all 8 atoms:
Sm 0.7500 0.2500 0.5000
Pm 0.5000 0.5000 0.0000
Ca 0.2500 0.7500 0.5000
Ca 0.0000 0.0000 0.0000
Te 0.4985 0.9985 0.9970
Te 0.7523 0.7523 0.5045
Te 0.2477 0.2477 0.4955
Te 0.0015 0.5015 0.0030

Results
Total magnetic moment in μB per atom: 0.000
Space-group type: I-4m2
Uncorrected formation energy in eV per atom: -1.502